# TlCoO3

A relaxed structure of TlCoO3 (GGA+U, OQMD).

Unit cell a=3.735 b=3.735 c=3.868 alpha=90.00 beta=90.00 gamma=90.00
Each line ends with the local moment (μB).
Sites, in units of the cell vectors:
O (0.500, 0.000, 0.589)  -0.02
O (0.500, 0.500, 0.081)  -0.10
O (0.000, 0.500, 0.589)  0.05
Co (0.500, 0.500, 0.577)  1.84
Tl (0.000, 0.000, 0.064)  -0.02

Results
VASP energy = -4.903 eV per atom
Space group = No. 99
V = 10.79 Å³ per atom